# TaTeW

A geometry-optimized TaTeW structure (PBE-GGA, Alexandria via LeMat-Bulk).

a = 3.3162 Å, b = 3.3162 Å, c = 6.4281 Å
α = 90.00°, β = 90.00°, γ = 120.00°
Space group P3m1 (No. 156)
Unique sites:
Ta (0.0000, 0.0000, 0.0000)
Te (0.6667, 0.3333, 0.3662)
W (0.3333, 0.6667, 0.7195)

E_form (uncorrected) = 10.63 kcal/mol of atoms
energy above the most stable polymorph in this dataset = 0.000 eV/atom

# Dy4ErGe4

A geometry-optimized Dy4ErGe4 structure (PBE-GGA, Alexandria via LeMat-Bulk).

a = 9.0628 Å, b = 9.0628 Å, c = 5.8322 Å
α = 90.00°, β = 90.00°, γ = 90.00°
Space group P4_2/n (No. 86, origin choice 2)
Unique sites:
Dy (0.0737, 0.6594, 0.1336)
Er (0.2500, 0.2500, 0.2500)
Ge (0.0230, 0.6214, 0.6323)

calculated formation energy = -0.5834 eV per atom

# ScFeCl

A geometry-optimized ScFeCl structure (PBE-GGA, Alexandria via LeMat-Bulk).

a = 3.5984 Å, b = 3.5984 Å, c = 11.0529 Å
α = 90.00°, β = 90.00°, γ = 120.00°
Space group P3m1 (No. 156)
Unique sites:
Sc (0.0000, 0.0000, 0.0000)
Sc (0.3333, 0.6667, 0.3831)
Fe (0.3333, 0.6667, 0.1563)
Fe (0.6667, 0.3333, 0.2007)
Cl (0.0000, 0.0000, 0.5272)
Cl (0.6667, 0.3333, 0.8513)

E_form (uncorrected) = -21.10 kcal/mol of atoms

# SrMg2SiNi

A geometry-optimized SrMg2SiNi structure (PBE-GGA, Alexandria via LeMat-Bulk).

a = 4.8455 Å, b = 4.8455 Å, c = 5.3504 Å
α = 90.00°, β = 90.00°, γ = 90.00°
Space group P4/mmm (No. 123)
Unique sites:
Sr (0.0000, 0.0000, 0.0000)
Mg (0.0000, 0.5000, 0.5000)
Si (0.5000, 0.5000, 0.0000)
Ni (0.0000, 0.0000, 0.5000)

E_form (uncorrected) = 5.82 kcal/mol of atoms
energy above the most stable polymorph in this dataset = 0.440 eV/atom

# LaPuSe2

A geometry-optimized LaPuSe2 structure (PBE-GGA, Alexandria via LeMat-Bulk).

a = 4.1074 Å, b = 4.1074 Å, c = 22.2814 Å
α = 90.00°, β = 90.00°, γ = 120.00°
Space group R3m (No. 160, hexagonal axes)
Unique sites:
La (0.0000, 0.0000, 0.0000)
Pu (0.0000, 0.0000, 0.1736)
Se (0.0000, 0.0000, 0.5815)
Se (0.0000, 0.0000, 0.7585)

E_form (uncorrected) = -38.62 kcal/mol of atoms
energy above the most stable polymorph in this dataset = 0.093 eV/atom

# BaAsOs2

A geometry-optimized BaAsOs2 structure (PBE-GGA, Alexandria via LeMat-Bulk).

a = 2.9727 Å, b = 3.7691 Å, c = 7.4916 Å
α = 90.00°, β = 90.00°, γ = 90.00°
Space group Pmm2 (No. 25)
Unique sites:
Ba (0.0000, 0.0000, 0.0000)
As (0.5000, 0.5000, 0.6676)
Os (0.0000, 0.0000, 0.4767)
Os (0.5000, 0.5000, 0.3306)

calculated formation energy = 0.4118 eV per atom

# YNi2Cl2

A geometry-optimized YNi2Cl2 structure (PBE-GGA, Alexandria via LeMat-Bulk).

a = 4.2030 Å, b = 4.2030 Å, c = 9.9913 Å
α = 90.00°, β = 90.00°, γ = 90.00°
Space group I4/mmm (No. 139)
Unique sites:
Y (0.0000, 0.0000, 0.0000)
Ni (0.0000, 0.0000, 0.3878)
Cl (0.0000, 0.5000, 0.2500)

E_form (uncorrected) = -8.31 kcal/mol of atoms
energy above the most stable polymorph in this dataset = 0.000 eV/atom

# Mn5In

A geometry-optimized Mn5In structure (PBE-GGA, Alexandria via LeMat-Bulk).

a = 4.6745 Å, b = 4.6745 Å, c = 4.1971 Å
α = 90.00°, β = 90.00°, γ = 120.00°
Space group P-62m (No. 189)
Unique sites:
Mn (0.0000, 0.6332, 0.0000)
Mn (0.3333, 0.6667, 0.5000)
In (0.0000, 0.0000, 0.5000)

calculated formation energy = 0.3048 eV per atom
energy above the most stable polymorph in this dataset = 0.119 eV/atom

# Tb2Th2Sc

A geometry-optimized Tb2Th2Sc structure (PBE-GGA, Alexandria via LeMat-Bulk).

a = 17.9358 Å, b = 4.9462 Å, c = 7.0293 Å
α = 90.00°, β = 100.93°, γ = 90.00°
Space group C2/m (No. 12)
Unique sites:
Tb (0.0983, 0.0000, 0.0411)
Tb (0.1986, 0.5000, 0.3480)
Th (0.0961, 0.0000, 0.5494)
Th (0.1996, 0.5000, 0.8455)
Sc (0.0019, 0.5000, 0.7381)

calculated formation energy = 0.0466 eV per atom
energy above the most stable polymorph in this dataset = 0.000 eV/atom

# MnNbSe2

A geometry-optimized MnNbSe2 structure (PBE-GGA, Alexandria via LeMat-Bulk).

a = 3.4022 Å, b = 3.4022 Å, c = 25.1847 Å
α = 90.00°, β = 90.00°, γ = 120.00°
Space group R-3m (No. 166, hexagonal axes)
Unique sites:
Mn (0.0000, 0.0000, 0.0000)
Nb (0.0000, 0.0000, 0.5000)
Se (0.0000, 0.0000, 0.0977)

E_form (uncorrected) = -6.77 kcal/mol of atoms
energy above the most stable polymorph in this dataset = 0.000 eV/atom

# Ba2LaNdSe4

A geometry-optimized Ba2LaNdSe4 structure (PBE-GGA, Alexandria via LeMat-Bulk).

a = 7.6603 Å, b = 4.4308 Å, c = 7.8839 Å
α = 90.00°, β = 108.95°, γ = 90.00°
Space group P2/m (No. 10)
Unique sites:
Ba (0.0000, 0.0000, 0.0000)
Ba (0.5000, 0.5000, 0.0000)
La (0.0000, 0.5000, 0.5000)
Nd (0.5000, 0.0000, 0.5000)
Se (0.2443, 0.0000, 0.7247)
Se (0.2610, 0.5000, 0.2765)

E_form (uncorrected) = -45.05 kcal/mol of atoms

# As3PH

A geometry-optimized As3PH structure (PBE-GGA, Alexandria via LeMat-Bulk).

a = 4.2522 Å, b = 4.2522 Å, c = 4.2522 Å
α = 90.00°, β = 90.00°, γ = 90.00°
Space group Pm-3m (No. 221)
Unique sites:
As (0.0000, 0.0000, 0.5000)
P (0.5000, 0.5000, 0.5000)
H (0.0000, 0.0000, 0.0000)

energy above the most stable polymorph in this dataset = 0.000 eV/atom

# Cs3CaGe2O6

A geometry-optimized Cs3CaGe2O6 structure (PBE-GGA, Alexandria via LeMat-Bulk).

a = 6.3325 Å, b = 6.3325 Å, c = 7.9082 Å
α = 90.00°, β = 90.00°, γ = 120.00°
Space group P-3m1 (No. 164)
Unique sites:
Cs (0.0000, 0.0000, 0.0000)
Cs (0.3333, 0.6667, 0.7176)
Ca (0.0000, 0.0000, 0.5000)
Ge (0.3333, 0.6667, 0.2784)
O (0.1765, 0.3530, 0.3168)

E_form (uncorrected) = -39.84 kcal/mol of atoms

# AcVSe2

A geometry-optimized AcVSe2 structure (PBE-GGA, Alexandria via LeMat-Bulk).

a = 3.6367 Å, b = 3.6367 Å, c = 7.1737 Å
α = 90.00°, β = 90.00°, γ = 90.00°
Space group P4/mmm (No. 123)
Unique sites:
Ac (0.0000, 0.0000, 0.0000)
V (0.0000, 0.0000, 0.5000)
Se (0.5000, 0.5000, 0.2759)

E_form (uncorrected) = -15.66 kcal/mol of atoms
energy above the most stable polymorph in this dataset = 0.000 eV/atom

# PuTlIn

A geometry-optimized PuTlIn structure (PBE-GGA, Alexandria via LeMat-Bulk).

a = 3.4473 Å, b = 3.4473 Å, c = 13.6223 Å
α = 90.00°, β = 90.00°, γ = 90.00°
Space group I4mm (No. 107)
Unique sites:
Pu (0.0000, 0.0000, 0.0000)
Tl (0.0000, 0.0000, 0.3277)
In (0.0000, 0.0000, 0.6660)

calculated formation energy = -0.0296 eV per atom
energy above the most stable polymorph in this dataset = 0.036 eV/atom

# TbSmI3

A geometry-optimized TbSmI3 structure (PBE-GGA, Alexandria via LeMat-Bulk).

a = 8.4131 Å, b = 3.9483 Å, c = 11.3788 Å
α = 90.00°, β = 103.69°, γ = 90.00°
Space group P2_1/m (No. 11)
Unique sites:
Tb (0.0108, 0.2500, 0.1382)
Sm (0.4813, 0.7500, 0.3666)
I (0.2019, 0.2500, 0.4116)
I (0.2221, 0.2500, 0.7698)
I (0.2807, 0.7500, 0.0921)

E_form (uncorrected) = -23.08 kcal/mol of atoms
energy above the most stable polymorph in this dataset = 0.106 eV/atom

# KEuInBi

A geometry-optimized KEuInBi structure (PBE-GGA, Alexandria via LeMat-Bulk).

a = 8.1966 Å, b = 8.1966 Å, c = 8.1966 Å
α = 90.00°, β = 90.00°, γ = 90.00°
Space group F-43m (No. 216)
Unique sites:
K (0.0000, 0.0000, 0.0000)
Eu (0.0000, 0.0000, 0.5000)
In (0.2500, 0.2500, 0.2500)
Bi (0.2500, 0.2500, 0.7500)

calculated formation energy = -0.3418 eV per atom

# SrHfSe2Br

A geometry-optimized SrHfSe2Br structure (PBE-GGA, Alexandria via LeMat-Bulk).

a = 5.6902 Å, b = 5.6902 Å, c = 5.4302 Å
α = 90.00°, β = 90.00°, γ = 90.00°
Space group P4/mmm (No. 123)
Unique sites:
Sr (0.0000, 0.0000, 0.0000)
Hf (0.5000, 0.5000, 0.5000)
Se (0.0000, 0.5000, 0.0000)
Br (0.0000, 0.0000, 0.5000)

E_form (uncorrected) = 3.86 kcal/mol of atoms
energy above the most stable polymorph in this dataset = 1.451 eV/atom

# PmZr2Pt9

A geometry-optimized PmZr2Pt9 structure (PBE-GGA, Alexandria via LeMat-Bulk).

a = 4.0976 Å, b = 4.0976 Å, c = 12.2881 Å
α = 90.00°, β = 90.00°, γ = 90.00°
Space group P4/mmm (No. 123)
Unique sites:
Pm (0.0000, 0.0000, 0.0000)
Zr (0.0000, 0.0000, 0.3350)
Pt (0.0000, 0.5000, 0.1771)
Pt (0.0000, 0.5000, 0.5000)
Pt (0.5000, 0.5000, 0.0000)
Pt (0.5000, 0.5000, 0.3385)

calculated formation energy = -1.0070 eV per atom

# SrNd2Ga

A geometry-optimized SrNd2Ga structure (PBE-GGA, Alexandria via LeMat-Bulk).

a = 3.8812 Å, b = 3.8812 Å, c = 33.2376 Å
α = 90.00°, β = 90.00°, γ = 120.00°
Space group R-3m (No. 166, hexagonal axes)
Unique sites:
Sr (0.0000, 0.0000, 0.0000)
Nd (0.0000, 0.0000, 0.2294)
Ga (0.0000, 0.0000, 0.5000)

calculated formation energy = -0.1044 eV per atom
energy above the most stable polymorph in this dataset = 0.079 eV/atom

# Tm5TlCu4

A geometry-optimized Tm5TlCu4 structure (PBE-GGA, Alexandria via LeMat-Bulk).

a = 3.4338 Å, b = 3.4338 Å, c = 18.0444 Å
α = 90.00°, β = 90.00°, γ = 90.00°
Space group P4/mmm (No. 123)
Unique sites:
Tm (0.0000, 0.0000, 0.0000)
Tm (0.0000, 0.0000, 0.1896)
Tm (0.0000, 0.0000, 0.3782)
Tl (0.5000, 0.5000, 0.5000)
Cu (0.5000, 0.5000, 0.0952)
Cu (0.5000, 0.5000, 0.2851)

calculated formation energy = -0.2905 eV per atom

# MnCd2As

A geometry-optimized MnCd2As structure (PBE-GGA, Alexandria via LeMat-Bulk).

a = 4.0881 Å, b = 4.0881 Å, c = 4.6493 Å
α = 90.00°, β = 90.00°, γ = 90.00°
Space group P4/mmm (No. 123)
Unique sites:
Mn (0.0000, 0.0000, 0.0000)
Cd (0.0000, 0.5000, 0.5000)
As (0.5000, 0.5000, 0.0000)

calculated formation energy = 0.1812 eV per atom

# NpTcOs2

A geometry-optimized NpTcOs2 structure (PBE-GGA, Alexandria via LeMat-Bulk).

a = 4.0038 Å, b = 4.0038 Å, c = 4.0082 Å
α = 90.00°, β = 90.00°, γ = 90.00°
Space group P4/mmm (No. 123)
Unique sites:
Np (0.0000, 0.0000, 0.0000)
Tc (0.5000, 0.5000, 0.0000)
Os (0.0000, 0.5000, 0.5000)

calculated formation energy = 0.0613 eV per atom
energy above the most stable polymorph in this dataset = 0.000 eV/atom

# CsHfTe2I

A geometry-optimized CsHfTe2I structure (PBE-GGA, Alexandria via LeMat-Bulk).

a = 5.6528 Å, b = 5.6528 Å, c = 5.9716 Å
α = 90.00°, β = 90.00°, γ = 90.00°
Space group P4/mmm (No. 123)
Unique sites:
Cs (0.0000, 0.0000, 0.0000)
Hf (0.5000, 0.5000, 0.5000)
Te (0.0000, 0.5000, 0.5000)
I (0.5000, 0.5000, 0.0000)

E_form (uncorrected) = -19.69 kcal/mol of atoms
energy above the most stable polymorph in this dataset = 0.000 eV/atom

# HfCdI6

A geometry-optimized HfCdI6 structure (PBE-GGA, Alexandria via LeMat-Bulk).

a = 7.3545 Å, b = 14.1260 Å, c = 7.3505 Å
α = 90.00°, β = 111.39°, γ = 90.00°
Space group C2/m (No. 12)
Unique sites:
Hf (0.0000, 0.0000, 0.0000)
Cd (0.0000, 0.5000, 0.5000)
I (0.2313, 0.0000, 0.7697)
I (0.2444, 0.1462, 0.2452)

E_form (uncorrected) = -16.26 kcal/mol of atoms
energy above the most stable polymorph in this dataset = 0.000 eV/atom

# KZr2Sb

A geometry-optimized KZr2Sb structure (PBE-GGA, Alexandria via LeMat-Bulk).

a = 3.2767 Å, b = 3.2767 Å, c = 35.5418 Å
α = 90.00°, β = 90.00°, γ = 120.00°
Space group R-3m (No. 166, hexagonal axes)
Unique sites:
K (0.0000, 0.0000, 0.0000)
Zr (0.0000, 0.0000, 0.2358)
Sb (0.0000, 0.0000, 0.5000)

E_form (uncorrected) = 7.03 kcal/mol of atoms

# NaLuTl

A geometry-optimized NaLuTl structure (PBE-GGA, Alexandria via LeMat-Bulk).

a = 3.7508 Å, b = 3.7508 Å, c = 12.4737 Å
α = 90.00°, β = 90.00°, γ = 90.00°
Space group I4mm (No. 107)
Unique sites:
Na (0.0000, 0.0000, 0.0000)
Lu (0.0000, 0.0000, 0.2962)
Tl (0.0000, 0.0000, 0.6577)

calculated formation energy = 0.0394 eV per atom
energy above the most stable polymorph in this dataset = 0.031 eV/atom